# 1
Material: Pr5Nd4Hg4
Method: DFT, GGA-PBE
State: optimized geometry

Properties
Total magnetic moment in μB/cell: 0.00
Density of states at the Fermi level in states/eV/f.u.: 12.0
Energy relative to the elements in eV per atom: -0.30

a = 12.4639 Å, b = 12.4639 Å, c = 5.3254 Å
α = 90.00°, β = 90.00°, γ = 90.00°
With the nearest neighbours (Å) after each atom.
Space group I4/m (No. 87)
Asymmetric unit:
Pr  0.0000  0.0000  0.0000 (multiplicity 2)  4 Hg 3.19
Pr  0.1176  0.8148  0.5000 (multiplicity 8)  3 Hg 3.23-3.25
Nd  0.0966  0.6099  0.0000 (multiplicity 8)  3 Hg 3.10-3.38
Hg  0.0987  0.2364  0.0000 (multiplicity 8)  3 Nd 3.10-3.38, 4 Pr 3.19-3.25

=====

# 2
Material: Pr2NdHg7
Method: DFT, GGA-PBE
State: optimized geometry

Properties
Total magnetic moment in μB/cell: 0.00
Density of states at the Fermi level in states/eV/f.u.: 6.4
Energy relative to the elements in eV per atom: -0.33

a = 5.0767 Å, b = 5.0767 Å, c = 12.2387 Å
α = 90.00°, β = 90.00°, γ = 120.00°
With the nearest neighbours (Å) after each atom.
Space group P3m1 (No. 156)
Asymmetric unit:
Pr  0.0000  0.0000  0.0000 (multiplicity 1)  8 Hg 3.14-3.19
Pr  0.3333  0.6667  0.6339 (multiplicity 1)  7 Hg 3.20-3.36
Nd  0.6667  0.3333  0.3631 (multiplicity 1)  7 Hg 3.19-3.37
Hg  0.0000  0.0000  0.2604 (multiplicity 1)  4 Hg 2.92-3.04, 1 Pr 3.19, 3 Nd 3.19
Hg  0.0000  0.0000  0.4992 (multiplicity 1)  2 Hg 2.92-2.94
Hg  0.0000  0.0000  0.7397 (multiplicity 1)  4 Hg 2.94-3.04, 4 Pr 3.19-3.20
Hg  0.3333  0.6667  0.1954 (multiplicity 1)  6 Hg 3.04-3.19
Hg  0.3333  0.6667  0.9073 (multiplicity 1)  4 Pr 3.14-3.35, 3 Hg 3.18
Hg  0.6667  0.3333  0.0928 (multiplicity 1)  3 Pr 3.14, 4 Hg 3.19-3.51, 1 Nd 3.31
Hg  0.6667  0.3333  0.8063 (multiplicity 1)  6 Hg 3.04-3.18

=====

# 3
Material: Pr3NdHg5
Method: DFT, GGA-PBE
State: optimized geometry

Properties
Total magnetic moment in μB/cell: 0.00
Density of states at the Fermi level in states/eV/f.u.: 10.2
Energy relative to the elements in eV per atom: -0.42

a = 9.4109 Å, b = 9.4109 Å, c = 6.7173 Å
α = 90.00°, β = 90.00°, γ = 120.00°
With the nearest neighbours (Å) after each atom.
Space group P6_3/mcm (No. 193)
Asymmetric unit:
Pr  0.0000  0.3716  0.2500 (multiplicity 6)  9 Hg 3.10-3.43
Nd  0.0000  0.0000  0.0000 (multiplicity 2)  6 Hg 3.28, 2 Nd 3.36
Hg  0.0000  0.2989  0.7500 (multiplicity 6)  5 Pr 3.10-3.43, 2 Nd 3.28
Hg  0.3333  0.6667  0.0000 (multiplicity 4)  8 Hg 3.36-3.71, 6 Pr 3.41

=====

# 4
Material: Pr3NdHg
Method: DFT, GGA-PBE
State: optimized geometry

Properties
Total magnetic moment in μB/cell: 0.00
Density of states at the Fermi level in states/eV/f.u.: 5.6
Energy relative to the elements in eV per atom: -0.08
Offset from the most stable computed form in meV per atom: 92

a = 11.7601 Å, b = 7.7328 Å, c = 8.1366 Å
α = 90.00°, β = 110.12°, γ = 90.00°
With the nearest neighbours (Å) after each atom.
Space group C2/m (No. 12)
Asymmetric unit:
Pr  0.0634  0.0000  0.2391 (multiplicity 4)  2 Hg 3.43-3.56, 7 Pr 3.61-3.68
Pr  0.1608  0.2499  0.6487 (multiplicity 8)  2 Hg 3.31, 3 Nd 3.61-3.67, 3 Pr 3.61-3.68
Nd  0.0635  0.5000  0.2410 (multiplicity 4)  2 Hg 3.38-3.50, 6 Pr 3.61-3.67, 1 Nd 3.69
Hg  0.2471  0.5000  0.0000 (multiplicity 4)  6 Pr 3.31-3.56, 2 Nd 3.38-3.50

=====

# 5
Material: Pr9Nd4Hg11
Method: DFT, GGA-PBE
State: optimized geometry

Properties
Total magnetic moment in μB/cell: 2.89
Density of states at the Fermi level in states/eV/f.u.: 25.6
Energy relative to the elements in eV per atom: -0.39

a = 16.0988 Å, b = 23.4312 Å, c = 3.6910 Å
α = 90.00°, β = 90.00°, γ = 90.00°
With the nearest neighbours (Å) after each atom.
Space group Cmmm (No. 65)
Asymmetric unit:
Pr  0.0000  0.0000  0.0000 (multiplicity 2)  4 Nd 3.27, 4 Hg 3.64
Pr  0.1157  0.2366  0.0000 (multiplicity 8)  8 Hg 3.31-3.56, 1 Nd 3.52, 2 Pr 3.69
Pr  0.1173  0.4115  0.0000 (multiplicity 8)  8 Hg 3.33-3.37, 1 Nd 3.64, 2 Pr 3.69
Nd  0.1565  0.0889  0.0000 (multiplicity 8)  3 Pr 3.27-3.64, 6 Hg 3.28-3.31
Hg  0.0000  0.1338  0.5000 (multiplicity 4)  4 Nd 3.30, 6 Pr 3.56-3.64, 2 Hg 3.69
Hg  0.0000  0.3248  0.5000 (multiplicity 4)  8 Pr 3.33-3.34, 2 Hg 3.69
Hg  0.0000  0.5000  0.5000 (multiplicity 2)  8 Pr 3.36, 2 Hg 3.69
Hg  0.2330  0.3216  0.5000 (multiplicity 8)  6 Pr 3.31-3.36, 2 Nd 3.31, 3 Hg 3.40-3.69
Hg  0.2355  0.5000  0.5000 (multiplicity 4)  4 Nd 3.28, 4 Pr 3.37

=====

# 6
Material: Pr2Nd3Hg7
Method: DFT, GGA-PBE
State: optimized geometry

Properties
Total magnetic moment in μB/cell: 0.00
Density of states at the Fermi level in states/eV/f.u.: 11.2
Energy relative to the elements in eV per atom: -0.32

a = 5.2763 Å, b = 23.9868 Å, c = 5.5519 Å
α = 90.00°, β = 90.00°, γ = 90.00°
With the nearest neighbours (Å) after each atom.
Space group Cmmm (No. 65)
Asymmetric unit:
Pr  0.0000  0.1429  0.0000 (multiplicity 4)  8 Hg 3.13-3.43
Nd  0.0000  0.3324  0.5000 (multiplicity 4)  4 Hg 3.09-3.36
Nd  0.0000  0.5000  0.5000 (multiplicity 2)  8 Hg 3.28
Hg  0.0000  0.0000  0.0000 (multiplicity 2)  8 Hg 3.16-3.39, 2 Pr 3.43
Hg  0.0000  0.0812  0.5000 (multiplicity 4)  2 Pr 3.15, 4 Nd 3.28-3.36, 2 Hg 3.39
Hg  0.0000  0.2758  0.0000 (multiplicity 4)  2 Hg 2.91, 2 Nd 3.09, 1 Pr 3.19
Hg  0.0000  0.4273  0.0000 (multiplicity 4)  2 Pr 3.13, 3 Hg 3.16-3.49, 2 Nd 3.28

=====

# 7
Material: Pr6Nd3Hg
Method: DFT, GGA-PBE
State: optimized geometry

Properties
Total magnetic moment in μB/cell: 0.00
Density of states at the Fermi level in states/eV/f.u.: 13.8
Energy relative to the elements in eV per atom: -0.02
Offset from the most stable computed form in meV per atom: 0

a = 9.2423 Å, b = 5.8085 Å, c = 13.3168 Å
α = 90.00°, β = 105.26°, γ = 90.00°
With the nearest neighbours (Å) after each atom.
Space group P2_1/m (No. 11)
Asymmetric unit:
Pr  0.0787  0.2500  0.3044 (multiplicity 2)  2 Nd 3.32-3.65, 6 Pr 3.48-3.71
Pr  0.0922  0.2500  0.8145 (multiplicity 2)  1 Hg 3.30, 2 Pr 3.48, 3 Nd 3.58-3.69
Pr  0.1421  0.7500  0.4802 (multiplicity 2)  3 Hg 3.46-3.54, 4 Pr 3.68-3.69, 1 Nd 3.79
Pr  0.2827  0.2500  0.1051 (multiplicity 2)  6 Nd 3.42-3.64, 5 Pr 3.50-3.81
Pr  0.3366  0.7500  0.7600 (multiplicity 2)  2 Hg 3.43, 3 Pr 3.50-3.71, 2 Nd 3.77
Pr  0.3546  0.7500  0.2818 (multiplicity 2)  4 Nd 3.47-3.65, 1 Hg 3.52, 3 Pr 3.68-3.69
Nd  0.1078  0.7500  0.9741 (multiplicity 2)  7 Pr 3.48-3.75, 3 Nd 3.50-3.69
Nd  0.4332  0.2500  0.4451 (multiplicity 2)  1 Hg 3.21, 3 Pr 3.32-3.59, 2 Nd 3.34
Nd  0.4994  0.7500  0.0666 (multiplicity 2)  3 Nd 3.41-3.50, 7 Pr 3.42-3.77
Hg  0.2525  0.2500  0.6203 (multiplicity 2)  1 Nd 3.21, 7 Pr 3.30-3.54

=====

# 8
Material: Pr3Nd2Hg2
Method: DFT, GGA-PBE
State: optimized geometry

Properties
Total magnetic moment in μB/cell: 0.00
Density of states at the Fermi level in states/eV/f.u.: 8.2
Energy relative to the elements in eV per atom: -0.23
Offset from the most stable computed form in meV per atom: 0

a = 13.5069 Å, b = 3.8925 Å, c = 9.6965 Å
α = 90.00°, β = 115.04°, γ = 90.00°
With the nearest neighbours (Å) after each atom.
Space group C2/m (No. 12)
Asymmetric unit:
Pr  0.0000  0.0000  0.0000 (multiplicity 2)  4 Hg 3.14
Pr  0.1082  0.0000  0.4426 (multiplicity 4)  3 Hg 3.27-3.29, 1 Pr 3.54
Nd  0.1468  0.5000  0.8136 (multiplicity 4)  2 Hg 3.23
Hg  0.1765  0.5000  0.2265 (multiplicity 4)  5 Pr 3.14-3.29, 2 Nd 3.23